1.
DFT (PBE) results for a relaxed structure of LaTl2Ni.

Computed properties:
raw total energy	-4.01	eV per atom
D(E_F)	2.72	states/eV/f.u.
symmetry	Amm2 (38)
energy of formation	-58	kJ/mol of formula units

Cell lengths 3.799, 6.700, 6.700 Å; angles 37.32, 90.00, 90.00 degrees
Element x y z (fractional)
La (0.000, 0.000, 0.000)
Tl (0.000, 0.289, 0.289)
Tl (0.500, 0.672, 0.672)
Ni (0.500, 0.456, 0.456)


2.
DFT (PBE) results for a relaxed structure of Tb4Sm2HoEr2.

Computed properties:
raw total energy	-4.62	eV per atom
D(E_F)	11.70	states/eV/f.u.
symmetry	C2/m (12)
energy of formation	9	kJ/mol of formula units

Cell lengths 9.491, 9.491, 9.547 Å; angles 115.21, 115.21, 21.81 degrees
Element x y z (fractional)
Tb (0.018, 0.018, 0.331)
Tb (0.315, 0.315, 0.668)
Tb (0.685, 0.685, 0.332)
Tb (0.982, 0.982, 0.669)
Sm (0.352, 0.352, 0.333)
Sm (0.648, 0.648, 0.667)
Ho (0.500, 0.500, 0.000)
Er (0.167, 0.167, 0.001)
Er (0.833, 0.833, 0.999)


3.
DFT (PBE) results for a relaxed structure of Sm2Dy4Sb3N2.

Computed properties:
formation energy without anion corrections	-1204	meV/atom
raw total energy	-6.37	eV per atom
D(E_F)	6.53	states/eV/f.u.
symmetry	I4/mmm (139)

Cell lengths 13.108, 13.108, 13.108 Å; angles 159.56, 159.56, 29.07 degrees
Element x y z (fractional)
Sm (0.193, 0.193, 0.000)
Sm (0.807, 0.807, 0.000)
Dy (0.083, 0.583, 0.500)
Dy (0.417, 0.917, 0.500)
Dy (0.583, 0.083, 0.500)
Dy (0.917, 0.417, 0.500)
Sb (0.323, 0.323, 0.000)
Sb (0.500, 0.500, 0.000)
Sb (0.677, 0.677, 0.000)
N (0.100, 0.100, 0.000)
N (0.900, 0.900, 0.000)


4.
DFT (PBE) results for a relaxed structure of PSO6.

Computed properties:
formation energy without anion corrections	-741	meV/atom
raw total energy	-5.65	eV per atom
D(E_F)	3.60	states/eV/f.u.
symmetry	C2/m (12)

Cell lengths 5.391, 5.391, 4.180 Å; angles 96.21, 96.21, 134.38 degrees
Element x y z (fractional)
P (0.000, 0.000, 0.000)
S (0.500, 0.500, 0.500)
O (0.139, 0.369, 0.254)
O (0.255, 0.255, 0.744)
O (0.369, 0.139, 0.254)
O (0.631, 0.861, 0.746)
O (0.745, 0.745, 0.256)
O (0.861, 0.631, 0.746)


- The lowest raw total energy belongs to which entry?
  Sm2Dy4Sb3N2